<w>
This record from Alexandria via LeMat-Bulk describes a relaxed structure of Dy3Tl2H2. The functional is PBE.

Summary:
Spin magnetization   0.00 μB per cell

```
7
Lattice="4.3807 0.0000 0.0000 0.0000 6.9479 -0.9541 -2.1903 -2.8228 5.2166" Properties=species:S:1:pos:R:3 pbc="T T T"
Dy 2.1903 0.7768 2.8071
Dy 0.0000 0.0000 0.0000
Dy 0.0000 3.3482 1.4553
Tl 2.1903 4.9803 -0.2895
Tl 0.0000 -0.8553 4.5520
H 0.0000 1.1486 1.9245
H 2.1903 2.9764 2.3379
```


<x>
This record from Alexandria via LeMat-Bulk describes a relaxed structure of Dy3Tl2H2. The functional is PBE.

Summary:
Spin magnetization   1.26 μB per cell

```
7
Lattice="4.6305 0.0000 0.0000 -2.3153 5.0197 -1.4512 0.0000 -0.2069 6.5292" Properties=species:S:1:pos:R:3 pbc="T T T"
H 0.0000 1.1576 2.1274
H 2.3153 3.6552 2.9507
Dy 0.0000 3.2523 3.2631
Dy 2.3153 1.5605 1.8149
Dy 0.0000 0.0000 0.0000
Tl 2.3153 1.4659 5.0320
Tl 0.0000 3.3469 0.0460
```


The winner here is <w>, beating the second structure by 206 meV per atom.


<w>
This record from Alexandria via LeMat-Bulk describes a relaxed structure of Dy2TlH2. The functional is PBE.

Summary:
Spin magnetization   0.00 μB per cell

```
10
Lattice="5.8095 -0.7316 -0.1394 -1.9224 5.5308 -0.1394 -1.7898 -2.2098 5.7800" Properties=species:S:1:pos:R:3 pbc="T T T"
H 2.4202 1.0197 -0.0514
H -0.4002 1.4743 2.8386
H 2.4975 1.1151 2.6626
H -0.3229 1.5697 5.5527
Dy 3.8464 -0.0565 1.3056
Dy 1.0271 0.3973 4.1956
Dy -1.7492 2.6459 4.1956
Dy 1.0702 2.1921 1.3056
Tl 3.5001 -1.6057 4.1956
Tl -1.4028 4.1951 1.3056
```


<x>
This record from Alexandria via LeMat-Bulk describes a relaxed structure of Dy2TlH2. The functional is PBE.

Summary:
Spin magnetization   0.00 μB per cell

```
5
Lattice="3.5800 0.0000 -1.3376 -0.4998 3.5449 -1.3376 0.4029 0.4636 6.5376" Properties=species:S:1:pos:R:3 pbc="T T T"
H 2.7615 1.1181 1.9312
H 0.7216 2.8905 1.9312
Dy 1.3506 1.5544 3.6147
Dy 2.1324 2.4542 0.2476
Tl 0.0000 0.0000 0.0000
```


The winner here is <x>, beating the second structure by 85 meV per atom.


<w>
This record from Alexandria via LeMat-Bulk describes a relaxed structure of DyTmH. The functional is PBE.

Summary:
Spin magnetization   0.00 μB per cell

```
24
Lattice="6.8670 -0.6647 1.8383 0.5661 6.1724 0.0855 3.8854 -0.5452 12.8446" Properties=species:S:1:pos:R:3 pbc="T T T"
Tm 3.1917 3.4854 8.3971
Tm 4.6991 3.3761 2.8017
Tm 2.3336 4.6137 5.2116
Tm 2.6730 0.4246 2.4928
Tm 7.2101 1.0389 6.5266
Tm 9.4881 4.8304 13.0381
Tm 7.4884 1.9032 12.5509
Tm 8.0348 -0.1736 9.7643
Dy 5.7721 4.2424 6.0845
Dy 4.0842 2.2590 11.5951
Dy 6.1037 0.1678 3.2994
Dy 6.6086 3.1193 9.3266
Dy 6.0811 5.1840 12.0904
Dy 4.6705 0.1824 8.6861
Dy 1.2783 3.6556 1.9342
Dy 3.7654 1.3640 5.5904
H 7.5202 -0.1525 11.8987
H 6.0384 1.0732 10.6093
H 4.4820 5.4315 4.2785
H 5.1649 4.2723 8.1572
H 10.5833 -0.4651 13.9626
H 5.9358 2.2507 4.6540
H 3.4530 4.4929 1.0326
H 3.7720 3.4310 6.2821
```


<x>
This record from Alexandria via LeMat-Bulk describes a relaxed structure of DyTmH. The functional is PBE.

Summary:
Spin magnetization   0.00 μB per cell

```
3
Lattice="3.3156 0.0000 0.0000 0.0000 3.3156 0.0000 -1.6578 -1.6578 5.9837" Properties=species:S:1:pos:R:3 pbc="T T T"
H 0.0000 0.0000 2.6354
Tm 1.6578 1.6578 2.9208
Dy 0.0000 0.0000 0.4275
```


The winner here is <w>, beating the second structure by 153 meV per atom.


<w>
This record from Alexandria via LeMat-Bulk describes a relaxed structure of DyTmH2. The functional is PBE.

Summary:
Spin magnetization   0.00 μB per cell

```
4
Lattice="-1.5865 2.6331 1.9192 -3.2355 1.2816 -1.0113 -4.2189 -2.6788 3.6093" Properties=species:S:1:pos:R:3 pbc="T T T"
H -5.8020 2.4198 2.1488
H -3.2389 -1.1839 2.3685
Dy -4.5204 0.6180 2.2586
Tm 0.0000 0.0000 0.0000
```


<x>
This record from Alexandria via LeMat-Bulk describes a relaxed structure of DyTmH2. The functional is PBE.

Summary:
Spin magnetization   0.00 μB per cell

```
4
Lattice="-1.9080 1.4269 -2.5035 -1.9494 -1.9974 -2.0382 -5.7243 0.3663 2.1860" Properties=species:S:1:pos:R:3 pbc="T T T"
Tm -8.2363 -0.0216 -0.8915
H -2.2360 -0.0711 -0.7219
H -4.7098 0.2391 1.3403
Dy -4.9148 -0.0866 -1.0745
```


The winner here is <w>, beating the second structure by 241 meV per atom.


<w>
This record from Alexandria via LeMat-Bulk describes a relaxed structure of Dy2ZrH. The functional is PBE.

Summary:
Spin magnetization   0.00 μB per cell

```
4
Lattice="3.2566 0.0000 0.0000 0.0000 3.2566 0.0000 0.0000 0.0000 8.0538" Properties=species:S:1:pos:R:3 pbc="T T T"
Dy 0.0000 0.0000 6.3903
Dy 0.0000 0.0000 1.6635
H 1.6283 1.6283 0.0000
Zr 1.6283 1.6283 4.0269
```


<x>
This record from Alexandria via LeMat-Bulk describes a relaxed structure of Dy2ZrH. The functional is PBE.

Summary:
Spin magnetization   0.00 μB per cell

```
4
Lattice="3.3291 0.0000 0.0000 1.6645 2.8830 0.0000 1.6645 0.9610 9.0827" Properties=species:S:1:pos:R:3 pbc="T T T"
Dy 4.9936 2.8830 3.1607
Dy 1.6645 0.9610 5.9219
H 3.3291 1.9220 4.5413
Zr 0.0000 0.0000 0.0000
```


The winner here is <w>, beating the second structure by 9 meV per atom.


<w>
This record from Alexandria via LeMat-Bulk describes a relaxed structure of DyZrH. The functional is PBE.

Summary:
Spin magnetization   0.00 μB per cell

```
3
Lattice="-0.5984 2.6044 2.1143 1.3643 -2.8852 1.1942 4.9599 1.9382 -0.9836" Properties=species:S:1:pos:R:3 pbc="T T T"
Dy 4.6272 1.8081 -0.9176
Zr 2.1769 1.6034 1.3870
H 3.8815 0.1840 0.8719
```


<x>
This record from Alexandria via LeMat-Bulk describes a relaxed structure of DyZrH. The functional is PBE.

Summary:
Spin magnetization   0.00 μB per cell

```
6
Lattice="3.2761 -0.6005 -0.1463 -0.6455 5.7793 -0.1968 0.4709 1.1677 5.7437" Properties=species:S:1:pos:R:3 pbc="T T T"
H 2.8385 0.5289 4.4041
H 0.2630 5.8176 0.9965
Zr 1.4809 2.2381 4.9584
Zr 1.6206 4.1083 0.4422
Dy 2.8912 1.4125 1.9488
Dy 0.2103 4.9339 3.4518
```


The winner here is <x>, beating the second structure by 6 meV per atom.


<w>
This record from Alexandria via LeMat-Bulk describes a relaxed structure of DyHf2. The functional is PBE.

Summary:
Spin magnetization   4.87 μB per cell

```
6
Lattice="-2.8165 1.4816 -5.1551 -6.0171 0.7013 -0.0709 -2.3982 5.5238 -0.6620" Properties=species:S:1:pos:R:3 pbc="T T T"
Dy 0.0000 0.0000 0.0000
Dy -2.8079 1.9267 -1.4720
Hf -7.0199 4.8167 -3.6799
Hf -4.0113 4.4661 -3.6445
Hf -5.6116 4.0759 -1.1024
Hf -5.8208 2.0548 -3.3490
```


<x>
This record from Alexandria via LeMat-Bulk describes a relaxed structure of DyHf2. The functional is PBE.

Summary:
Spin magnetization   0.00 μB per cell

```
3
Lattice="3.1818 0.0000 0.0000 0.0000 3.1818 0.0000 -1.5909 -1.5909 7.4617" Properties=species:S:1:pos:R:3 pbc="T T T"
Hf 0.0000 0.0000 4.7715
Hf 1.5909 1.5909 2.6902
Dy 0.0000 0.0000 0.0000
```


The winner here is <x>, beating the second structure by 207 meV per atom.


<w>
This record from Alexandria via LeMat-Bulk describes a relaxed structure of DyHfHg. The functional is PBE.

Summary:
Spin magnetization   0.00 μB per cell

```
3
Lattice="-2.9416 0.5608 1.5873 -1.4540 -2.4572 -1.8263 3.7925 -3.3102 4.5793" Properties=species:S:1:pos:R:3 pbc="T T T"
Hg -1.6388 -2.4407 1.4436
Dy -0.6046 -5.2023 4.3358
Hf 1.0375 -2.7703 2.9013
```


<x>
This record from Alexandria via LeMat-Bulk describes a relaxed structure of DyHfHg. The functional is PBE.

Summary:
Spin magnetization   0.00 μB per cell

```
6
Lattice="4.3935 0.0262 -0.2003 -0.0371 4.3934 -0.2003 -1.8205 -1.8469 8.0406" Properties=species:S:1:pos:R:3 pbc="T T T"
Dy 0.2350 0.2384 5.1268
Dy 2.3009 2.3343 2.5132
Hg 0.0926 0.0940 2.0587
Hg 2.4433 2.4787 5.5812
Hf 2.1967 0.0131 -0.1002
Hf -0.0185 2.1967 -0.1002
```


The winner here is <w>, beating the second structure by 6 meV per atom.